Entry 1:
# Pr6Sm5Sc (PBE, relaxed)
data_Pr6Sm5Sc
_chemical_formula_sum 'Pr12 Sm10 Sc2'
_space_group_name_H-M_alt 'I m m m'
_space_group_IT_number 71
_space_group_name_Hall '-I 2 2'
_cell_length_a 5.1709
_cell_length_b 10.2379
_cell_length_c 15.4788
_cell_angle_alpha 90.00
_cell_angle_beta 90.00
_cell_angle_gamma 90.00
loop_
_atom_site_label
_atom_site_type_symbol
_atom_site_fract_x
_atom_site_fract_y
_atom_site_fract_z
Pr1 Pr 0.0000 0.2446 0.0000
Pr2 Pr 0.0000 0.2534 0.3351
Sm1 Sm 0.0000 0.0000 0.1650
Sm2 Sm 0.0000 0.0000 0.5000
Sm3 Sm 0.0000 0.5000 0.1661
Sc1 Sc 0.0000 0.5000 0.5000
# crystal system	orthorhombic
# size of the total moment	0.0	μB/f.u.
# DOS(E_F)	34.599	states/eV/cell
# formation enthalpy at 0 K	25	meV/atom

Entry 2:
# Ca2AcErAg4 (PBE, relaxed)
data_Ca2AcErAg4
_chemical_formula_sum 'Ca6 Ac3 Er3 Ag12'
_space_group_name_H-M_alt 'R -3 m'
_space_group_IT_number 166
_space_group_name_Hall '-R 3 2"'
_cell_length_a 5.2610
_cell_length_b 5.2610
_cell_length_c 26.3358
_cell_angle_alpha 90.00
_cell_angle_beta 90.00
_cell_angle_gamma 120.00
loop_
_atom_site_label
_atom_site_type_symbol
_atom_site_fract_x
_atom_site_fract_y
_atom_site_fract_z
Ca1 Ca 0.0000 0.0000 0.2461
Ac1 Ac 0.0000 0.0000 0.0000
Er1 Er 0.0000 0.0000 0.5000
Ag1 Ag 0.0000 0.0000 0.1286
Ag2 Ag 0.0000 0.0000 0.3844
# crystal system	trigonal
# size of the total moment	0.0	μB/f.u.
# DOS(E_F)	18.144	states/eV/cell
# formation enthalpy at 0 K	-285	meV/atom

Entry 3:
# BaAl2Sb (PBE, relaxed)
data_BaAl2Sb
_chemical_formula_sum 'Ba2 Al4 Sb2'
_space_group_name_H-M_alt 'C 1 2/m 1'
_space_group_IT_number 12
_cell_length_a 6.7341
_cell_length_b 11.5987
_cell_length_c 3.4501
_cell_angle_alpha 90.00
_cell_angle_beta 120.74
_cell_angle_gamma 90.00
loop_
_space_group_symop_operation_xyz
'x,y,z'
'-x,-y,-z'
'-x,y,-z'
'x,-y,z'
'x+1/2,y+1/2,z'
'-x+1/2,-y+1/2,-z'
'-x+1/2,y+1/2,-z'
'x+1/2,-y+1/2,z'
loop_
_atom_site_label
_atom_site_type_symbol
_atom_site_fract_x
_atom_site_fract_y
_atom_site_fract_z
Ba1 Ba 0.0000 0.0000 0.0000
Al1 Al 0.2500 0.2500 0.0000
Sb1 Sb 0.0000 0.5000 0.0000
# crystal system	monoclinic
# size of the total moment	0.0	μB/f.u.
# DOS(E_F)	3.694	states/eV/cell
# E_form (uncorrected)	0.106	eV/atom

Entry 4:
# Ag2BiPd (PBE, relaxed)
data_Ag2BiPd
_chemical_formula_sum 'Ag6 Bi3 Pd3'
_space_group_name_H-M_alt 'R -3 m'
_space_group_IT_number 166
_space_group_name_Hall '-R 3 2"'
_cell_length_a 3.1017
_cell_length_b 3.1017
_cell_length_c 32.0516
_cell_angle_alpha 90.00
_cell_angle_beta 90.00
_cell_angle_gamma 120.00
loop_
_atom_site_label
_atom_site_type_symbol
_atom_site_fract_x
_atom_site_fract_y
_atom_site_fract_z
Ag1 Ag 0.0000 0.0000 0.0834
Bi1 Bi 0.0000 0.0000 0.5000
Pd1 Pd 0.0000 0.0000 0.0000
# crystal system	trigonal
# size of the total moment	0.0	μB/f.u.
# DOS(E_F)	8.679	states/eV/cell
# formation enthalpy at 0 K	425	meV/atom

Listing calculated volume for the structures above in their given order: 34.14 26.30 28.95 22.25 Å³ per atom.